[1]
Below is a geometry-optimized TaPt2Rh structure, with properties calculated at the GGA-PBEsol level.

Calculated values
magnetic moment = 0.00 μB per formula unit
volume = 14.9 Å³/atom
energy relative to the elements = -0.680 eV/atom
space group = I4/mmm, No. 139

POSCAR file:
```
TaPt2Rh
1.0
-1.514 -3.516 -0.559
3.522 -1.567 0.320
-1.538 2.144 4.059
Rh Pt Ta
1 2 1
Direct
0.000 0.000 0.000
0.750 0.250 0.500
0.250 0.750 0.500
0.500 0.500 0.000
```

---

[2]
Below is a geometry-optimized Ta2PtRh structure, with properties calculated at the GGA-PBEsol level.

Calculated values
magnetic moment = 0.00 μB per formula unit
volume = 15.6 Å³/atom
energy relative to the elements = -0.601 eV/atom
space group = P4/mmm, No. 123

POSCAR file:
```
Ta2PtRh
1.0
-0.637 0.993 3.775
-3.880 0.362 -0.750
-0.533 -3.825 0.916
Rh Pt Ta
1 1 2
Direct
0.500 0.000 0.000
0.500 0.500 0.500
0.000 0.000 0.500
0.000 0.500 0.000
```

---

[3]
Below is a geometry-optimized Ta2PtRh structure, with properties calculated at the GGA-PBEsol level.

Calculated values
magnetic moment = 0.00 μB per formula unit
volume = 15.7 Å³/atom
energy relative to the elements = -0.549 eV/atom
space group = Pm, No. 6

POSCAR file:
```
Ta2PtRh
1.0
2.795 0.000 0.013
0.000 4.595 0.000
-0.283 0.000 4.899
Rh Pt Ta
1 1 2
Direct
0.370 0.500 0.808
0.378 0.000 0.448
0.939 0.000 0.938
0.813 0.500 0.306
```

---

[4]
Below is a geometry-optimized Ta2PtRh structure, with properties calculated at the GGA-PBEsol level.

Calculated values
magnetic moment = 0.00 μB per formula unit
volume = 15.8 Å³/atom
energy relative to the elements = -0.289 eV/atom
space group = C2/m, No. 12

POSCAR file:
```
Ta2PtRh
1.0
-0.380 -2.718 -0.684
2.709 0.079 4.030
-4.453 0.121 1.996
Pt Rh Ta
1 1 2
Direct
0.000 0.000 0.500
0.500 0.000 0.000
0.750 0.500 0.751
0.250 0.500 0.249
```

---

[5]
Below is a geometry-optimized Ta2PtRh structure, with properties calculated at the GGA-PBEsol level.

Calculated values
magnetic moment = 0.00 μB per formula unit
volume = 15.6 Å³/atom
energy relative to the elements = -0.600 eV/atom
space group = I4/mmm, No. 139

POSCAR file:
```
Ta2PtRh
1.0
-1.677 2.608 2.475
-0.178 -2.788 2.817
4.510 1.167 -1.354
Rh Pt Ta
1 1 2
Direct
0.500 0.500 0.000
0.000 0.000 0.000
0.750 0.250 0.500
0.250 0.750 0.500
```

---

[6]
Below is a geometry-optimized Ta2PtRh structure, with properties calculated at the GGA-PBEsol level.

Calculated values
magnetic moment = 0.00 μB per formula unit
volume = 15.6 Å³/atom
energy relative to the elements = -0.585 eV/atom
space group = Pmmm, No. 47

POSCAR file:
```
Ta2PtRh
1.0
-1.120 -2.362 -1.029
2.188 -2.131 2.511
-4.106 0.283 3.818
Rh Pt Ta
1 1 2
Direct
0.500 0.500 0.500
0.500 0.500 0.000
0.000 0.000 0.746
0.000 0.000 0.254
```